Material: CoTePbO
Method: DFT, PBE with a Hubbard U
State: relaxed

CIF file:
```
data_CoTePbO
_chemical_formula_sum 'Co2 Te2 Pb2 O2'
_symmetry_space_group_name_H-M 'P 4/n m m'
_symmetry_Int_Tables_number 129
_cell_length_a 4.497
_cell_length_b 4.497
_cell_length_c 8.519
_cell_angle_alpha 90.00
_cell_angle_beta 90.00
_cell_angle_gamma 90.00
loop_
_symmetry_equiv_pos_as_xyz
'x,y,z'
'-x,-y,-z'
'-y+1/2,x,z'
'y+1/2,-x,-z'
'-x+1/2,-y+1/2,z'
'x+1/2,y+1/2,-z'
'y,-x+1/2,z'
'-y,x+1/2,-z'
'x+1/2,-y,-z'
'-x+1/2,y,z'
'-y,-x,-z'
'y,x,z'
'-x,y+1/2,-z'
'x,-y+1/2,z'
'y+1/2,x+1/2,-z'
'-y+1/2,-x+1/2,z'
loop_
_atom_site_label
_atom_site_type_symbol
_atom_site_fract_x
_atom_site_fract_y
_atom_site_fract_z
_atom_site_occupancy
Co1 Co 0.250 0.250 0.183 1
Te1 Te 0.250 0.750 0.000 1
Pb1 Pb 0.250 0.250 0.655 1
O1 O 0.250 0.250 0.398 1
```

## Properties
M_tot = 3.90 μB per cell
electronic total energy = -4.419 eV per atom
V = 21.53 Å³ per atom